No. 1
The following is a GGA-PBE calculation of a relaxed structure of PrSi2TcIr, from Alexandria via LeMat-Bulk.

```
10
Lattice="4.244 0.000 0.000 0.000 4.244 0.000 0.000 0.000 9.912" Properties=species:S:1:pos:R:3 pbc="T T T"
Pr 0.000 0.000 0.000
Pr 2.122 2.122 4.956
Si 0.000 0.000 3.639
Si 0.000 0.000 6.273
Si 2.122 2.122 1.317
Si 2.122 2.122 8.594
Tc 0.000 2.122 2.478
Tc 2.122 0.000 7.434
Ir 0.000 2.122 7.434
Ir 2.122 0.000 2.478
```

Computed properties:
E_tot = -7.834 eV per atom


No. 2
The following is a GGA-PBE calculation of a relaxed structure of PrTh2Si2Ir7, from Alexandria via LeMat-Bulk.

```
12
Lattice="2.936 -2.907 0.000 2.936 2.907 0.000 -1.789 0.000 13.233" Properties=species:S:1:pos:R:3 pbc="T T T"
Pr 0.000 0.000 0.000
Th -0.058 0.000 4.600
Th 4.140 0.000 8.633
Si 1.148 0.000 9.872
Si 2.935 0.000 3.361
Ir 1.466 1.450 2.194
Ir 1.130 0.000 7.538
Ir 2.617 1.450 11.039
Ir 2.936 0.000 0.000
Ir 1.466 -1.450 2.194
Ir 2.952 0.000 5.695
Ir 2.617 -1.450 11.039
```

Computed properties:
E_tot = -8.424 eV per atom


No. 3
The following is a GGA-PBE calculation of a relaxed structure of Pr2TiSi3Ir4, from Alexandria via LeMat-Bulk.

```
10
Lattice="4.146 0.000 0.000 0.000 4.146 0.000 0.000 0.000 10.445" Properties=species:S:1:pos:R:3 pbc="T T T"
Pr 0.000 2.073 2.559
Pr 2.073 0.000 7.885
Ti 0.000 0.000 5.222
Si 0.000 2.073 9.148
Si 2.073 0.000 1.297
Si 2.073 2.073 5.222
Ir 0.000 0.000 0.000
Ir 0.000 2.073 6.675
Ir 2.073 0.000 3.770
Ir 2.073 2.073 0.000
```

Computed properties:
E_tot = -7.912 eV per atom